## one
Compound: As2PbSe
Source: Alexandria via LeMat-Bulk
Functional: PBEsol
Structure: optimized geometry

Cell and atoms, written as POSCAR:
```
As2PbSe
1.0
4.015 0.000 0.000
0.000 4.015 0.000
0.000 0.000 5.727
Pb As Se
1 2 1
direct
0.500 0.500 0.500
0.000 0.500 0.000
0.500 0.000 0.000
0.000 0.000 0.500
```

Summary:
- space group = P4/mmm, No. 123
- M_tot (μB per cell) = 0.00


## two
Compound: As2PbSe
Source: Alexandria via LeMat-Bulk
Functional: PBEsol
Structure: optimized geometry

Cell and atoms, written as POSCAR:
```
As2PbSe
1.0
-2.199 -2.886 0.261
0.215 -0.647 -5.340
4.673 -0.994 3.022
Pb Se As
1 1 2
direct
0.489 0.489 0.978
0.723 0.223 0.446
0.300 0.800 0.599
0.989 0.989 0.977
```

Summary:
- space group = Imm2, No. 44
- M_tot (μB per cell) = 0.00


## three
Compound: As2PbSe
Source: Alexandria via LeMat-Bulk
Functional: PBEsol
Structure: optimized geometry

Cell and atoms, written as POSCAR:
```
As2PbSe
1.0
3.219 -0.003 0.000
-1.290 2.950 0.000
0.000 0.000 9.229
As Pb Se
2 1 1
direct
0.000 0.000 0.783
0.000 0.000 0.217
0.500 0.500 0.500
0.500 0.500 0.000
```

Summary:
- space group = Cmmm, No. 65
- M_tot (μB per cell) = 0.00


Of all the structures shown, which is most stable? two, and three is the least stable.